#1
5
Lattice="6.161 0.000 0.000 0.000 6.161 0.000 0.000 0.000 6.161" Properties=species:S:1:pos:R:3 comment="CsNiSn3 | Alexandria | PBE | optimized geometry" total_magnetization_mub_per_fu=0.68 pbc="T T T"
Cs 0.000 0.000 0.000
Ni 3.080 3.080 3.080
Sn 0.000 3.080 0.000
Sn 0.000 0.000 3.080
Sn 3.080 0.000 0.000


#2
5
Lattice="-4.969 1.687 0.311 -0.549 -2.467 4.609 1.625 4.325 2.508" Properties=species:S:1:pos:R:3 comment="CsNiSn3 | Alexandria | PBE | optimized geometry" total_magnetization_mub_per_fu=0.00 pbc="T T T"
Cs -1.947 1.773 3.714
Ni 0.000 0.000 0.000
Sn -0.275 -1.233 2.305
Sn 0.813 2.162 1.254
Sn -2.484 0.844 0.155


Of them, #1 has the lowest stability.


#1
5
Lattice="6.201 0.000 0.000 0.000 6.201 0.000 0.000 0.000 6.201" Properties=species:S:1:pos:R:3 comment="CsSr3Ni | Alexandria | PBE | optimized geometry" total_magnetization_mub_per_fu=2.00 pbc="T T T"
Cs 0.000 0.000 0.000
Sr 0.000 3.101 0.000
Sr 0.000 0.000 3.101
Sr 3.101 0.000 0.000
Ni 3.101 3.101 3.101


#2
5
Lattice="-1.377 2.133 -5.633 4.059 -3.940 -2.484 -4.450 -4.254 -0.523" Properties=species:S:1:pos:R:3 comment="CsSr3Ni | Alexandria | PBE | optimized geometry" total_magnetization_mub_per_fu=0.00 pbc="T T T"
Cs -0.884 -3.030 -4.320
Sr 2.029 -1.970 -1.242
Sr -2.225 -2.127 -0.262
Sr -0.688 1.067 -2.816
Ni 0.000 0.000 0.000


Of them, #1 has the lowest stability.


#1
5
Lattice="4.860 0.000 0.000 0.000 4.860 0.000 0.000 0.000 4.860" Properties=species:S:1:pos:R:3 comment="CsTaNi3 | Alexandria | PBE | optimized geometry" total_magnetization_mub_per_fu=0.00 pbc="T T T"
Cs 2.430 2.430 2.430
Ni 0.000 2.430 0.000
Ni 0.000 0.000 2.430
Ni 2.430 0.000 0.000
Ta 0.000 0.000 0.000


#2
5
Lattice="4.664 0.000 0.000 0.000 4.664 0.000 0.000 0.000 4.664" Properties=species:S:1:pos:R:3 comment="CsTaNi3 | Alexandria | PBE | optimized geometry" total_magnetization_mub_per_fu=0.00 pbc="T T T"
Cs 0.000 0.000 0.000
Ni 0.000 2.332 0.000
Ni 0.000 0.000 2.332
Ni 2.332 0.000 0.000
Ta 2.332 2.332 2.332


Of them, #2 has the lowest stability.


#1
8
Lattice="-2.555 -1.492 4.133 -2.516 -3.423 -2.791 3.440 -8.177 2.301" Properties=species:S:1:pos:R:3 comment="CsTa2Ni | Alexandria | PBE | optimized geometry" total_magnetization_mub_per_fu=0.00 pbc="T T T"
Cs 0.000 0.000 0.000
Cs -0.825 -6.063 3.552
Ni -2.535 -2.457 0.671
Ni -0.806 -7.029 0.090
Ta -0.632 -3.159 2.130
Ta -1.451 -4.615 0.026
Ta 0.265 -8.538 1.770
Ta -1.444 -9.871 3.358


#2
4
Lattice="-2.096 -3.691 2.046 -2.659 0.630 3.839 -4.678 -0.499 -0.267" Properties=species:S:1:pos:R:3 comment="CsTa2Ni | Alexandria | PBE | optimized geometry" total_magnetization_mub_per_fu=0.00 pbc="T T T"
Cs -4.717 -1.780 2.809
Ni 0.000 0.000 0.000
Ta -2.358 -0.890 1.404
Ta -7.075 -2.670 4.213


Of them, #1 has the lowest stability.


#1
8
Lattice="4.078 0.000 0.000 0.000 4.078 0.000 2.039 2.039 9.899" Properties=species:S:1:pos:R:3 comment="CsTc2Ni | Alexandria | PBE | optimized geometry" total_magnetization_mub_per_fu=0.00 pbc="T T T"
Cs 0.000 0.000 0.000
Cs 4.078 2.039 4.949
Ni 2.039 2.039 0.000
Ni 2.039 4.078 4.949
Tc 2.652 1.019 2.475
Tc 1.426 3.058 2.475
Tc 3.058 3.464 7.424
Tc 5.097 4.691 7.424


#2
4
Lattice="-0.780 -4.213 -1.579 -4.149 -1.861 0.413 -2.609 -0.606 -3.698" Properties=species:S:1:pos:R:3 comment="CsTc2Ni | Alexandria | PBE | optimized geometry" total_magnetization_mub_per_fu=0.05 pbc="T T T"
Cs -3.769 -3.340 -2.432
Ni 0.000 0.000 0.000
Tc -1.884 -1.670 -1.216
Tc -5.653 -5.009 -3.648


Of them, #2 has the lowest stability.


#1
6
Lattice="-0.905 3.382 -1.723 2.613 -3.452 -12.104 -3.654 -0.816 0.318" Properties=species:S:1:pos:R:3 comment="CsTcNi | Alexandria | PBE | optimized geometry" total_magnetization_mub_per_fu=0.00 pbc="T T T"
Cs -0.124 0.083 -0.328
Cs 0.508 -0.352 -5.470
Ni -1.682 -1.126 -10.324
Ni 0.109 0.022 -9.008
Tc 0.594 -2.363 -9.528
Tc -1.263 -2.122 -8.081


#2
6
Lattice="-4.694 -1.215 1.434 5.336 -7.770 6.006 0.083 2.800 2.645" Properties=species:S:1:pos:R:3 comment="CsTcNi | Alexandria | PBE | optimized geometry" total_magnetization_mub_per_fu=0.00 pbc="T T T"
Cs 2.696 -6.877 8.221
Cs 1.436 -1.257 5.124
Ni 2.451 -4.408 5.613
Ni 1.674 -3.735 7.730
Tc 4.082 -3.202 7.091
Tc 0.043 -4.939 6.251


Of them, #2 has the lowest stability.


#1
6
Lattice="5.049 0.011 -0.003 3.543 11.560 0.012 1.504 -10.252 3.613" Properties=species:S:1:pos:R:3 comment="CsTcNi | Alexandria | PBE | optimized geometry" total_magnetization_mub_per_fu=0.00 pbc="T T T"
Cs 5.203 1.047 2.790
Cs 2.682 -4.064 2.525
Ni 5.132 2.976 0.057
Ni 6.297 4.272 1.640
Tc 3.746 4.394 1.595
Tc 2.633 2.840 0.105


#2
6
Lattice="18.016 0.000 0.003 8.795 1.884 -2.684 -8.795 1.884 2.684" Properties=species:S:1:pos:R:3 comment="CsTcNi | Alexandria | PBE | optimized geometry" total_magnetization_mub_per_fu=0.00 pbc="T T T"
Cs 7.499 1.884 -0.282
Cs 13.362 1.884 -0.021
Ni 1.591 1.884 1.805
Ni 3.248 1.884 -0.006
Tc 19.145 1.884 -1.219
Tc 10.414 1.884 -2.526


Of them, #2 has the lowest stability.


#1
5
Lattice="4.724 0.000 0.000 0.000 4.724 0.000 0.000 0.000 4.724" Properties=species:S:1:pos:R:3 comment="CsTcNi3 | Alexandria | PBE | optimized geometry" total_magnetization_mub_per_fu=0.00 pbc="T T T"
Cs 2.362 2.362 2.362
Ni 0.000 2.362 0.000
Ni 0.000 0.000 2.362
Ni 2.362 0.000 0.000
Tc 0.000 0.000 0.000


#2
5
Lattice="4.721 0.000 0.000 0.000 4.721 0.000 0.000 0.000 4.721" Properties=species:S:1:pos:R:3 comment="CsTcNi3 | Alexandria | PBE | optimized geometry" total_magnetization_mub_per_fu=4.01 pbc="T T T"
Cs 0.000 0.000 0.000
Ni 0.000 2.360 0.000
Ni 0.000 0.000 2.360
Ni 2.360 0.000 0.000
Tc 2.360 2.360 2.360


Of them, #2 has the lowest stability.